1.
The following is a PBE calculation of a geometry-optimized NiIrOs2 structure, from Alexandria.

Properties
Its space group is I-42d (122). The value obtained for the formation energy is 1.324 eV per atom. The value obtained for the energy is -7.95 eV per atom. As for the density: 13.26 g/cm³. For the density of states at the Fermi level, the calculation gives 5.96 states/eV/cell.

Lattice parameters (Å, degrees): 5.385 5.385 6.652 66.13 66.13 90.00
Sites, in units of the cell vectors:
Ir (0.000, 0.000, 0.000)
Ir (0.750, 0.250, 0.500)
Os (0.139, 0.625, 0.250)
Os (0.375, 0.389, 0.750)
Os (0.611, 0.125, 0.250)
Os (0.875, 0.861, 0.750)
Ni (0.500, 0.500, 0.000)
Ni (0.250, 0.750, 0.500)

2.
The following is a PBE calculation of a geometry-optimized NiIrOs2 structure, from Alexandria.

Properties
Its space group is P4/mmm (123). The value obtained for the formation energy is 0.491 eV per atom. The value obtained for the energy is -8.78 eV per atom. As for the density: 18.74 g/cm³. For the density of states at the Fermi level, the calculation gives 5.55 states/eV/cell.

Lattice parameters (Å, degrees): 4.526 4.526 2.731 90.00 90.00 90.00
Sites, in units of the cell vectors:
Ir (0.500, 0.000, 0.500)
Os (0.000, 0.000, 0.000)
Os (0.500, 0.500, 0.000)
Ni (0.000, 0.500, 0.500)

3.
The following is a PBE calculation of a geometry-optimized Ni3Ir8Os2 structure, from Alexandria.

Properties
Its space group is Cmmm (65). The value obtained for the formation energy is 0.391 eV per atom. The value obtained for the energy is -8.12 eV per atom. As for the density: 18.07 g/cm³. For the density of states at the Fermi level, the calculation gives 16.35 states/eV/cell.

Lattice parameters (Å, degrees): 4.293 8.260 8.260 41.08 89.99 89.99
Sites, in units of the cell vectors:
Ir (0.000, 0.139, 0.139)
Ir (0.000, 0.861, 0.861)
Ir (0.500, 0.173, 0.611)
Ir (0.001, 0.347, 0.347)
Ir (0.500, 0.611, 0.173)
Ir (0.500, 0.389, 0.827)
Ir (0.999, 0.653, 0.653)
Ir (0.500, 0.827, 0.389)
Ni (0.000, 0.728, 0.272)
Ni (0.500, 0.000, 0.000)
Ni (0.000, 0.272, 0.728)
Os (0.499, 0.758, 0.758)
Os (0.501, 0.242, 0.242)

4.
The following is a PBE calculation of a geometry-optimized NiIrOs2 structure, from Alexandria.

Properties
Its space group is Imm2 (44). The value obtained for the formation energy is 0.342 eV per atom. The value obtained for the energy is -8.93 eV per atom. As for the density: 19.13 g/cm³. For the density of states at the Fermi level, the calculation gives 3.97 states/eV/cell.

Lattice parameters (Å, degrees): 5.185 5.185 5.185 148.82 130.01 60.10
Sites, in units of the cell vectors:
Os (0.024, 0.024, 0.000)
Os (0.754, 0.254, 0.500)
Ni (0.247, 0.747, 0.500)
Ir (0.475, 0.475, 0.000)

5.
The following is a PBE calculation of a geometry-optimized NiIrOs2 structure, from Alexandria.

Properties
Its space group is Cmm2 (35). The value obtained for the formation energy is 0.486 eV per atom. The value obtained for the energy is -8.79 eV per atom. As for the density: 18.51 g/cm³. For the density of states at the Fermi level, the calculation gives 6.80 states/eV/cell.

Lattice parameters (Å, degrees): 2.671 2.671 9.070 90.00 90.00 118.91
Last column: magnetic moment on the atom in μB.
Sites, in units of the cell vectors:
Ni (0.500, 0.500, 0.752)  0.18
Ir (0.000, 0.000, 0.508)  0.14
Os (0.500, 0.500, 0.249)  0.34
Os (0.000, 0.000, 0.991)  0.26

6.
The following is a PBE calculation of a geometry-optimized NiIr3Os2 structure, from Alexandria.

Properties
Its space group is C2/c (15). The value obtained for the formation energy is 0.288 eV per atom. The value obtained for the energy is -8.85 eV per atom. As for the density: 18.94 g/cm³. For the density of states at the Fermi level, the calculation gives 12.07 states/eV/cell.

Lattice parameters (Å, degrees): 5.254 5.908 5.908 76.69 87.11 87.11
Sites, in units of the cell vectors:
Ir (0.002, 0.798, 0.708)
Ir (0.498, 0.292, 0.202)
Ir (0.998, 0.202, 0.292)
Ir (0.750, 0.567, 0.433)
Ir (0.502, 0.708, 0.798)
Ir (0.250, 0.433, 0.567)
Ni (0.250, 0.061, 0.939)
Ni (0.750, 0.939, 0.061)
Os (0.647, 0.135, 0.641)
Os (0.853, 0.359, 0.865)
Os (0.353, 0.865, 0.359)
Os (0.147, 0.641, 0.135)

7.
The following is a PBE calculation of a geometry-optimized NiIrOs2 structure, from Alexandria.

Properties
Its space group is P-1 (2). The value obtained for the formation energy is 0.061 eV per atom. The value obtained for the energy is -9.21 eV per atom. As for the density: 19.17 g/cm³. For the density of states at the Fermi level, the calculation gives 16.25 states/eV/cell.

Lattice parameters (Å, degrees): 4.664 5.369 9.273 106.78 80.32 89.87
Sites, in units of the cell vectors:
Ni (0.128, 0.064, 0.126)
Ni (0.206, 0.938, 0.372)
Ni (0.794, 0.062, 0.628)
Ni (0.872, 0.936, 0.874)
Ir (0.291, 0.819, 0.623)
Ir (0.628, 0.814, 0.121)
Ir (0.372, 0.186, 0.879)
Ir (0.709, 0.181, 0.377)
Os (0.871, 0.438, 0.879)
Os (0.129, 0.562, 0.121)
Os (0.791, 0.549, 0.626)
Os (0.709, 0.683, 0.371)
Os (0.291, 0.317, 0.629)
Os (0.371, 0.696, 0.873)
Os (0.629, 0.304, 0.127)
Os (0.209, 0.451, 0.374)

8.
The following is a PBE calculation of a geometry-optimized NiIrOs2 structure, from Alexandria.

Properties
Its space group is F-43m (216). The value obtained for the formation energy is 0.504 eV per atom. The value obtained for the energy is -8.77 eV per atom. As for the density: 18.70 g/cm³. For the density of states at the Fermi level, the calculation gives 4.98 states/eV/cell.

Lattice parameters (Å, degrees): 4.296 4.296 4.296 60.00 60.00 60.00
Last column: magnetic moment on the atom in μB.
Sites, in units of the cell vectors:
Ni (0.250, 0.250, 0.250)  0.32
Os (0.750, 0.750, 0.750)  0.89
Os (0.000, 0.000, 0.000)  0.18
Ir (0.500, 0.500, 0.500)  0.28